No. 1
A relaxed structure of Lu4PN3, computed with PBE.

Cell: 3.4212 3.4212 23.5480 Å, 90.00 90.00 120.00°
Last column: nearest neighbours and their distance in Å.
Sites, in units of the cell vectors:
Lu 0.0000 0.0000 0.1699  3 N 2.34
Lu 0.0000 0.0000 0.3301  3 N 2.34
Lu 0.0000 0.0000 0.6699  3 N 2.34
Lu 0.0000 0.0000 0.8301  3 N 2.34
Lu 0.3333 0.6667 0.0565  6 N 2.38-2.43
Lu 0.3333 0.6667 0.4435  6 N 2.38-2.43
Lu 0.6667 0.3333 0.5565  6 N 2.38-2.43
Lu 0.6667 0.3333 0.9435  6 N 2.38-2.43
P 0.3333 0.6667 0.2500  6 Lu 2.73
P 0.6667 0.3333 0.7500  6 Lu 2.73
N 0.0000 0.0000 0.0000  6 Lu 2.38
N 0.0000 0.0000 0.5000  6 Lu 2.38
N 0.3333 0.6667 0.6164  6 Lu 2.34-2.43
N 0.3333 0.6667 0.8836  6 Lu 2.34-2.43
N 0.6667 0.3333 0.1164  6 Lu 2.34-2.43
N 0.6667 0.3333 0.3836  6 Lu 2.34-2.43

## Properties
Space-group type ... No. 194
Electronic total energy ... -7.74 eV/atom
Magnetization ... 0.00 μB per formula unit



No. 2
A relaxed structure of Lu2PN, computed with PBE.

Cell: 12.7923 12.7923 12.7923 Å, 28.07 28.07 28.07°
Last column: nearest neighbours and their distance in Å.
Sites, in units of the cell vectors:
Lu 0.0362 0.7018 0.3682  3 N 2.44-2.45, 3 P 2.72
Lu 0.1318 0.7982 0.4638  3 N 2.44-2.45, 3 P 2.72
Lu 0.2018 0.5362 0.8682  3 N 2.44-2.45, 3 P 2.72
Lu 0.2982 0.6318 0.9638  3 N 2.44-2.45, 3 P 2.72
Lu 0.3682 0.0362 0.7018  3 N 2.44-2.45, 3 P 2.72
Lu 0.4638 0.1318 0.7982  3 N 2.44-2.45, 3 P 2.72
Lu 0.5362 0.8682 0.2018  3 N 2.44-2.45, 3 P 2.72
Lu 0.6318 0.9638 0.2982  3 N 2.44-2.45, 3 P 2.72
Lu 0.7018 0.3682 0.0362  3 N 2.44-2.45, 3 P 2.72
Lu 0.7982 0.4638 0.1318  3 N 2.44-2.45, 3 P 2.72
Lu 0.8682 0.2018 0.5362  3 N 2.44-2.45, 3 P 2.72
Lu 0.9638 0.2982 0.6318  3 N 2.44-2.45, 3 P 2.72
P 0.0829 0.4171 0.7500  6 Lu 2.72
P 0.2500 0.9171 0.5829  6 Lu 2.72
P 0.4171 0.7500 0.0829  6 Lu 2.72
P 0.5829 0.2500 0.9171  6 Lu 2.72
P 0.7500 0.0829 0.4171  6 Lu 2.72
P 0.9171 0.5829 0.2500  6 Lu 2.72
N 0.0000 0.0000 0.0000  6 Lu 2.45
N 0.1666 0.1666 0.1666  6 Lu 2.44-2.45
N 0.3334 0.3334 0.3334  6 Lu 2.44-2.45
N 0.5000 0.5000 0.5000  6 Lu 2.45
N 0.6666 0.6666 0.6666  6 Lu 2.44-2.45
N 0.8334 0.8334 0.8334  6 Lu 2.44-2.45

## Properties
Space-group type ... No. 167
Electronic total energy ... -7.21 eV/atom
Magnetization ... 0.00 μB per formula unit



What is the formula in the first record? Lu4PN3



Please write out number 1 again, unchanged.
A relaxed structure of Lu4PN3, computed with PBE.

Cell: 3.4212 3.4212 23.5480 Å, 90.00 90.00 120.00°
Last column: nearest neighbours and their distance in Å.
Sites, in units of the cell vectors:
Lu 0.0000 0.0000 0.1699  3 N 2.34
Lu 0.0000 0.0000 0.3301  3 N 2.34
Lu 0.0000 0.0000 0.6699  3 N 2.34
Lu 0.0000 0.0000 0.8301  3 N 2.34
Lu 0.3333 0.6667 0.0565  6 N 2.38-2.43
Lu 0.3333 0.6667 0.4435  6 N 2.38-2.43
Lu 0.6667 0.3333 0.5565  6 N 2.38-2.43
Lu 0.6667 0.3333 0.9435  6 N 2.38-2.43
P 0.3333 0.6667 0.2500  6 Lu 2.73
P 0.6667 0.3333 0.7500  6 Lu 2.73
N 0.0000 0.0000 0.0000  6 Lu 2.38
N 0.0000 0.0000 0.5000  6 Lu 2.38
N 0.3333 0.6667 0.6164  6 Lu 2.34-2.43
N 0.3333 0.6667 0.8836  6 Lu 2.34-2.43
N 0.6667 0.3333 0.1164  6 Lu 2.34-2.43
N 0.6667 0.3333 0.3836  6 Lu 2.34-2.43

## Properties
Space-group type ... No. 194
Electronic total energy ... -7.74 eV/atom
Magnetization ... 0.00 μB per formula unit



Repeat the second record exactly.
A relaxed structure of Lu2PN, computed with PBE.

Cell: 12.7923 12.7923 12.7923 Å, 28.07 28.07 28.07°
Last column: nearest neighbours and their distance in Å.
Sites, in units of the cell vectors:
Lu 0.0362 0.7018 0.3682  3 N 2.44-2.45, 3 P 2.72
Lu 0.1318 0.7982 0.4638  3 N 2.44-2.45, 3 P 2.72
Lu 0.2018 0.5362 0.8682  3 N 2.44-2.45, 3 P 2.72
Lu 0.2982 0.6318 0.9638  3 N 2.44-2.45, 3 P 2.72
Lu 0.3682 0.0362 0.7018  3 N 2.44-2.45, 3 P 2.72
Lu 0.4638 0.1318 0.7982  3 N 2.44-2.45, 3 P 2.72
Lu 0.5362 0.8682 0.2018  3 N 2.44-2.45, 3 P 2.72
Lu 0.6318 0.9638 0.2982  3 N 2.44-2.45, 3 P 2.72
Lu 0.7018 0.3682 0.0362  3 N 2.44-2.45, 3 P 2.72
Lu 0.7982 0.4638 0.1318  3 N 2.44-2.45, 3 P 2.72
Lu 0.8682 0.2018 0.5362  3 N 2.44-2.45, 3 P 2.72
Lu 0.9638 0.2982 0.6318  3 N 2.44-2.45, 3 P 2.72
P 0.0829 0.4171 0.7500  6 Lu 2.72
P 0.2500 0.9171 0.5829  6 Lu 2.72
P 0.4171 0.7500 0.0829  6 Lu 2.72
P 0.5829 0.2500 0.9171  6 Lu 2.72
P 0.7500 0.0829 0.4171  6 Lu 2.72
P 0.9171 0.5829 0.2500  6 Lu 2.72
N 0.0000 0.0000 0.0000  6 Lu 2.45
N 0.1666 0.1666 0.1666  6 Lu 2.44-2.45
N 0.3334 0.3334 0.3334  6 Lu 2.44-2.45
N 0.5000 0.5000 0.5000  6 Lu 2.45
N 0.6666 0.6666 0.6666  6 Lu 2.44-2.45
N 0.8334 0.8334 0.8334  6 Lu 2.44-2.45

## Properties
Space-group type ... No. 167
Electronic total energy ... -7.21 eV/atom
Magnetization ... 0.00 μB per formula unit



Which of these has the highest electronic total energy? Lu2PN